4
Lattice="3.706 0.000 0.000 0.000 5.672 0.000 0.000 0.000 6.026" Properties=species:S:1:pos:R:3 comment="K2FePb (PBE-GGA, optimized geometry)" delta_e_f_ev_per_atom=0.654 m_tot_mub_per_fu=3.13 space_group="Pmmm, No. 47" pbc="T T T"
K 0.000 0.000 1.495
K 0.000 0.000 4.531
Fe 1.853 2.836 0.000
Pb 1.853 2.836 3.013

4
Lattice="5.078 0.000 0.000 0.000 2.071 6.762 0.000 -2.071 6.762" Properties=species:S:1:pos:R:3 comment="KFePb2 (PBE-GGA, optimized geometry)" delta_e_f_ev_per_atom=0.420 m_tot_mub_per_fu=2.25 space_group="Amm2, No. 38" pbc="T T T"
K 0.000 0.000 0.000
Fe 2.539 0.000 3.599
Pb 0.000 0.000 3.797
Pb 2.539 0.000 8.742

4
Lattice="3.814 0.000 0.000 0.000 3.814 0.000 0.000 0.000 10.305" Properties=species:S:1:pos:R:3 comment="K2FePb (PBE-GGA, optimized geometry)" delta_e_f_ev_per_atom=0.401 m_tot_mub_per_fu=2.69 space_group="P4mm, No. 99" pbc="T T T"
K 0.000 0.000 0.000
K 1.907 1.907 4.077
Fe 1.907 1.907 7.509
Pb 0.000 0.000 6.797

4
Lattice="4.268 -1.851 0.000 4.268 1.851 0.000 -1.507 0.000 7.695" Properties=species:S:1:pos:R:3 comment="KFePb2 (PBE-GGA, optimized geometry)" delta_e_f_ev_per_atom=0.255 m_tot_mub_per_fu=2.63 space_group="C2/m, No. 12" pbc="T T T"
K 0.000 0.000 0.000
Fe 3.514 0.000 3.847
Pb 0.932 0.000 5.103
Pb 6.096 0.000 2.591

4
Lattice="0.000 3.841 3.841 3.841 0.000 3.841 3.841 3.841 0.000" Properties=species:S:1:pos:R:3 comment="KFePb2 (PBE-GGA, optimized geometry)" delta_e_f_ev_per_atom=0.642 m_tot_mub_per_fu=3.04 space_group="F-43m, No. 216" pbc="T T T"
K 0.000 0.000 0.000
Fe 5.761 5.761 5.761
Pb 1.920 1.920 1.920
Pb 3.841 3.841 3.841

5
Lattice="5.048 0.000 0.000 0.000 5.048 0.000 0.000 0.000 6.078" Properties=species:S:1:pos:R:3 comment="KFe2SiPb (PBE-GGA, optimized geometry)" m_tot_mub_per_fu=4.91 raw_formation_energy_ev_per_fu=7.70 space_group="P4/mmm, No. 123" pbc="T T T"
K 0.000 0.000 0.000
Fe 0.000 2.524 3.039
Fe 2.524 0.000 3.039
Si 2.524 2.524 0.000
Pb 0.000 0.000 3.039

5
Lattice="5.898 0.000 0.000 0.000 5.898 0.000 0.000 0.000 5.854" Properties=species:S:1:pos:R:3 comment="KFeSnPb2 (PBE-GGA, optimized geometry)" delta_e_f_ev_per_atom=1.615 m_tot_mub_per_fu=3.22 space_group="P4/mmm, No. 123" pbc="T T T"
K 0.000 0.000 0.000
Fe 2.949 2.949 2.927
Sn 0.000 0.000 2.927
Pb 0.000 2.949 0.000
Pb 2.949 0.000 0.000

5
Lattice="6.286 0.000 0.000 0.000 6.286 0.000 0.000 0.000 4.344" Properties=species:S:1:pos:R:3 comment="K2TaFePb (PBE-GGA, optimized geometry)" delta_e_f_ev_per_atom=1.248 m_tot_mub_per_fu=0.00 space_group="P4/mmm, No. 123" pbc="T T T"
K 0.000 3.143 0.000
K 3.143 0.000 0.000
Ta 0.000 0.000 2.172
Fe 0.000 0.000 0.000
Pb 3.143 3.143 2.172

5
Lattice="6.125 0.000 0.000 0.000 6.125 0.000 0.000 0.000 4.222" Properties=species:S:1:pos:R:3 comment="K2FePbW (PBE-GGA, optimized geometry)" delta_e_f_ev_per_atom=1.584 m_tot_mub_per_fu=0.61 space_group="P4/mmm, No. 123" pbc="T T T"
K 0.000 3.062 0.000
K 3.062 0.000 0.000
Fe 0.000 0.000 2.111
Pb 3.062 3.062 2.111
W 0.000 0.000 0.000

5
Lattice="5.720 0.000 0.000 0.000 5.720 0.000 0.000 0.000 5.211" Properties=species:S:1:pos:R:3 comment="K2ZrFePb (PBE-GGA, optimized geometry)" delta_e_f_ev_per_atom=1.452 m_tot_mub_per_fu=0.26 space_group="P4/mmm, No. 123" pbc="T T T"
K 0.000 2.860 0.000
K 2.860 0.000 0.000
Zr 0.000 0.000 2.606
Fe 2.860 2.860 0.000
Pb 2.860 2.860 2.606

8
Lattice="-2.419 2.419 8.763 2.419 -2.419 8.763 2.419 2.419 -8.763" Properties=species:S:1:pos:R:3 comment="KFe2Pd (PBE-GGA, optimized geometry)" delta_e_f_ev_per_atom=0.846 m_tot_mub_per_fu=6.51 space_group="I-42d, No. 122" relative_energy_mev_per_atom=0 pbc="T T T"
K 0.000 0.000 0.000
K 0.000 2.419 4.382
Fe 1.210 -0.018 6.572
Fe 2.402 1.210 2.191
Fe 1.210 2.437 -2.191
Fe 0.018 1.210 10.954
Pd 2.419 0.000 4.382
Pd 0.000 0.000 8.763

5
Lattice="4.911 0.000 0.000 0.000 4.911 0.000 0.000 0.000 4.911" Properties=species:S:1:pos:R:3 comment="KFePd3 (PBE-GGA, optimized geometry)" delta_e_f_ev_per_atom=1.729 m_tot_mub_per_fu=3.67 space_group="Pm-3m, No. 221" relative_energy_mev_per_atom=1309 pbc="T T T"
K 0.000 0.000 0.000
Fe 2.455 2.455 2.455
Pd 0.000 0.000 2.455
Pd 0.000 2.455 0.000
Pd 2.455 0.000 0.000

8
Lattice="-2.615 2.615 8.219 2.615 -2.615 8.219 2.615 2.615 -8.219" Properties=species:S:1:pos:R:3 comment="KFePd2 (PBE-GGA, optimized geometry)" delta_e_f_ev_per_atom=0.542 m_tot_mub_per_fu=3.88 space_group="I-42d, No. 122" pbc="T T T"
K 0.000 0.000 0.000
K 0.000 2.615 4.110
Fe 2.615 0.000 4.110
Fe 0.000 0.000 8.219
Pd 1.307 2.376 -2.055
Pd 2.853 1.307 2.055
Pd 1.307 0.238 6.165
Pd -0.238 1.307 10.274

5
Lattice="4.781 0.000 0.000 0.000 4.781 0.000 0.000 0.000 4.781" Properties=species:S:1:pos:R:3 comment="KFePd3 (PBE-GGA, optimized geometry)" delta_e_f_ev_per_atom=0.421 m_tot_mub_per_fu=4.14 space_group="Pm-3m, No. 221" relative_energy_mev_per_atom=0 pbc="T T T"
K 0.000 0.000 0.000
Fe 2.390 2.390 2.390
Pd 0.000 2.390 2.390
Pd 2.390 0.000 2.390
Pd 2.390 2.390 0.000

4
Lattice="0.000 3.276 3.276 3.276 0.000 3.276 3.276 3.276 0.000" Properties=species:S:1:pos:R:3 comment="KFe2Pd (PBE-GGA, optimized geometry)" delta_e_f_ev_per_atom=1.013 m_tot_mub_per_fu=6.20 space_group="Fm-3m, No. 225" relative_energy_mev_per_atom=167 pbc="T T T"
K 0.000 0.000 0.000
Fe 1.638 1.638 1.638
Fe 4.914 4.914 4.914
Pd 3.276 3.276 3.276